Compound: ZrCdHg2
Source: Alexandria
Functional: PBEsol
Structure: optimized geometry

Cell: 6.3460 8.7008 3.0291 Å, 90.00 90.00 90.00°
Last column: nearest neighbours and their distance in Å.
Space group Cmmm (No. 65)
One atom of each set of equivalent atoms:
Zr (0.0000, 0.0000, 0.0000) [2 per cell]  2 Zr 3.03, 8 Hg 3.09, 2 Cd 3.17
Cd (0.0000, 0.5000, 0.0000) [2 per cell]  2 Cd 3.03, 8 Hg 3.09, 2 Zr 3.17
Hg (0.2500, 0.2500, 0.5000) [4 per cell]  4 Hg 3.03-3.17, 4 Cd 3.09, 4 Zr 3.09

Density of states at the Fermi level, states/eV/cell: 5.61
Formation energy, eV per atom: -0.112
M_tot, μB per formula unit: 0.0
Final energy, eV/cell: -23.74